{
  "formula": "Pm2BiOs",
  "functional": "PBE",
  "state": "relaxed",
  "lattice": [[-0.4574, -3.4622, -0.0478], [2.1632, -0.3234, 2.7230], [-6.6672, 0.8064, 5.3923]],
  "species": ["Pm", "Pm", "Os", "Bi"],
  "fractional_positions": [[0.0000, 0.0000, 0.8004], [0.0000, 0.0000, 0.1996], [0.5000, 0.5000, 0.0000], [0.5000, 0.5000, 0.5000]],
  "de_polymorph_ev_per_fu": 0.00,
  "magmom_total_mub_per_cell": 0.000,
  "formation_energy_ev_per_atom": -0.367
}